18
Lattice="-3.817 -3.108 -3.976 -3.119 -3.078 4.566 -4.695 4.227 0.369" Properties=species:S:1:pos:R:3 comment="Nd2MgNi12P3, relaxed, DFT PBE-GGA" magnetic_moment_mub_per_fu=0.000 e_tot_ev_per_fu=-98.96 formation_energy_mev_per_atom=-123.4 pbc="T T T"
Nd -7.608 -1.281 0.627
Nd -4.023 -0.678 0.331
Mg 0.000 0.000 0.000
Ni -6.806 1.471 0.551
Ni -7.164 -3.767 0.599
Ni -7.612 -0.024 2.817
Ni -6.348 -2.355 -1.716
Ni -7.969 -0.039 -1.542
Ni -5.984 -2.339 2.741
Ni -4.825 -3.430 0.407
Ni -4.467 1.808 0.359
Ni -4.019 -1.935 -1.859
Ni -5.283 0.396 2.674
Ni -3.662 -1.919 2.500
Ni -5.647 0.381 -1.783
P -1.909 -1.554 -1.988
P -1.559 -1.539 2.283
P -2.347 2.114 0.184

=====

21
Lattice="-2.382 -1.727 3.690 -10.194 0.964 -6.128 6.387 -10.063 -0.588" Properties=species:S:1:pos:R:3 comment="Cs2Na12Se7, relaxed, DFT PBE-GGA" magnetic_moment_mub_per_fu=0.000 e_tot_ev_per_fu=-64.13 e_form_raw_ev_per_fu=-22.20 pbc="T T T"
Cs 0.257 -6.824 -1.501
Cs -6.446 -4.002 -1.525
Na -6.589 -0.405 -2.925
Na -2.612 -3.808 -1.951
Na -6.596 -5.225 -5.186
Na 0.401 -10.422 -0.101
Na -3.577 -7.019 -1.076
Na 0.407 -5.601 2.160
Na -0.172 -2.853 0.092
Na 3.659 -9.221 -0.416
Na -2.729 -8.409 -4.159
Na -6.017 -7.973 -3.119
Na -9.848 -1.606 -2.611
Na -3.460 -2.418 1.133
Se -1.191 -0.864 1.845
Se -7.786 -2.536 -4.744
Se -4.004 -1.116 -1.638
Se -3.949 -5.744 -3.769
Se 1.597 -8.290 1.717
Se -2.184 -9.710 -1.388
Se -2.239 -5.082 0.743

=====

4
Lattice="-0.281 -1.939 -2.372 1.046 -2.299 1.756 -5.628 -1.263 1.699" Properties=species:S:1:pos:R:3 comment="Ti2CrCu, relaxed, DFT PBE-GGA" magnetic_moment_mub_per_fu=0.002 e_tot_ev_per_fu=-29.80 formation_energy_mev_per_atom=-71.8 pbc="T T T"
Cr 0.382 -2.119 -0.308
Cu -2.432 -2.751 0.542
Ti -4.308 -0.966 1.301
Ti -1.321 -0.296 0.399

=====

4
Lattice="2.991 0.000 0.000 0.000 2.991 0.000 0.000 0.000 8.255" Properties=species:S:1:pos:R:3 comment="TaAg2Cl, relaxed, DFT PBE-GGA" magnetic_moment_mub_per_fu=0.000 e_tot_ev_per_fu=-18.64 relative_energy_mev_per_atom=155 e_form_raw_ev_per_fu=0.76 pbc="T T T"
Cl 1.495 1.495 2.064
Ag 0.000 0.000 0.019
Ag 0.000 0.000 4.108
Ta 1.495 1.495 6.191

=====

Which formula does entry 3 have?
Ti2CrCu